No. 1
## Tb4NdDy4 (PBE-GGA)

Data for an optimized crystal structure of Tb4NdDy4.

abc: 6.7937 8.6681 10.6459
angles: 78.21 74.89 76.50
Space group P-1 (No. 2)
Inequivalent atoms, fractional coordinates:
Tb 0.0852 0.1638 0.4604
Tb 0.3848 0.8344 0.6293
Tb 0.3879 0.8378 0.9622
Tb 0.3905 0.8365 0.2963
Nd 0.2416 0.4729 0.2146
Dy 0.0819 0.1671 0.7921
Dy 0.0840 0.1635 0.1243
Dy 0.2445 0.4791 0.5460
Dy 0.2446 0.4784 0.8796

Summary:
E_form   38 meV/atom
Energy above the lowest structure with this stoichiometry   0.181 eV per formula unit

No. 2
## TaSeBr2 (PBE-GGA)

Data for an optimized crystal structure of TaSeBr2.

abc: 6.9139 3.3909 6.9767
angles: 90.00 118.05 90.00
Space group Pm (No. 6)
Inequivalent atoms, fractional coordinates:
Ta 0.0000 0.0000 0.0000
Se 0.9620 0.5000 0.2467
Br 0.2666 0.5000 0.9565
Br 0.6591 0.0000 0.6666

Summary:
Formation energy without anion corrections   -0.677 eV per atom
Energy above the lowest structure with this stoichiometry   0.000 eV per formula unit

No. 3
## La2Sm7TmTl2 (PBE-GGA)

Data for an optimized crystal structure of La2Sm7TmTl2.

abc: 7.0078 6.8976 16.0998
angles: 90.00 90.01 90.00
Space group C2/m (No. 12)
Inequivalent atoms, fractional coordinates:
La 0.0009 0.0000 0.3307
Sm 0.0000 0.0000 0.0000
Sm 0.2258 0.5000 0.5000
Sm 0.2503 0.2500 0.1637
Tm 0.0000 0.5000 0.0000
Tl 0.0010 0.5000 0.3178

Summary:
E_form   -21 meV/atom

No. 4
## LiCuMo (PBE-GGA)

Data for an optimized crystal structure of LiCuMo.

abc: 3.4166 3.8157 13.0704
angles: 90.00 90.00 90.00
Space group Fmm2 (No. 42)
Inequivalent atoms, fractional coordinates:
Li 0.0000 0.0000 0.0000
Cu 0.0000 0.0000 0.3430
Mo 0.0000 0.0000 0.6822

Summary:
E_form   243 meV/atom
Energy above the lowest structure with this stoichiometry   0.253 eV per formula unit

No. 5
## SrPuAgI6 (PBE-GGA)

Data for an optimized crystal structure of SrPuAgI6.

abc: 7.4849 7.4849 14.1134
angles: 90.00 90.00 90.00
Space group P4_2nm (No. 102)
Inequivalent atoms, fractional coordinates:
Sr 0.0000 0.0000 0.0000
Pu 0.0000 0.0000 0.3341
Ag 0.0000 0.0000 0.6708
I 0.1876 0.1876 0.5052
I 0.2031 0.2031 0.1761
I 0.2045 0.2045 0.8243

Summary:
Formation energy without anion corrections   -1.037 eV per atom

No. 6
## Nd2Th (PBE-GGA)

Data for an optimized crystal structure of Nd2Th.

abc: 3.6455 3.6455 15.4922
angles: 90.00 90.00 90.00
Space group I4/mmm (No. 139)
Inequivalent atoms, fractional coordinates:
Nd 0.0000 0.0000 0.1573
Th 0.0000 0.0000 0.5000

Summary:
E_form   29 meV/atom
Energy above the lowest structure with this stoichiometry   0.038 eV per formula unit

No. 7
## ErAg4Hg (PBE-GGA)

Data for an optimized crystal structure of ErAg4Hg.

abc: 3.1417 4.9130 8.1475
angles: 90.00 95.71 90.00
Space group P2/m (No. 10)
Inequivalent atoms, fractional coordinates:
Er 0.0000 0.0000 0.0000
Ag 0.3405 0.0000 0.6617
Ag 0.4950 0.5000 0.8290
Hg 0.0000 0.5000 0.5000

Summary:
E_form   -45 meV/atom
Energy above the lowest structure with this stoichiometry   0.647 eV per formula unit

No. 8
## Ce5Y2S12 (PBE-GGA)

Data for an optimized crystal structure of Ce5Y2S12.

abc: 14.3735 7.9723 9.4925
angles: 90.00 110.45 90.00
Space group C2/m (No. 12)
Inequivalent atoms, fractional coordinates:
Ce 0.0000 0.0000 0.0000
Ce 0.1969 0.5000 0.8864
Ce 0.2302 0.5000 0.4490
Y 0.0000 0.2453 0.5000
S 0.0207 0.5000 0.3150
S 0.0640 0.0000 0.3476
S 0.1385 0.2231 0.0078
S 0.1974 0.2790 0.6495

Summary:
Formation energy without anion corrections   -1.844 eV per atom

No. 9
## CoRu2 (PBE-GGA)

Data for an optimized crystal structure of CoRu2.

abc: 5.6389 5.6389 5.6389
angles: 90.00 90.00 90.00
Space group Pa-3 (No. 205)
Inequivalent atoms, fractional coordinates:
Co 0.0000 0.0000 0.0000
Ru 0.1175 0.6175 0.8825

Summary:
E_form   896 meV/atom

No. 10
## Rb3TlRh (PBE-GGA)

Data for an optimized crystal structure of Rb3TlRh.

abc: 6.1572 6.1572 6.1572
angles: 90.00 90.00 90.00
Space group Pm-3m (No. 221)
Inequivalent atoms, fractional coordinates:
Rb 0.0000 0.0000 0.5000
Tl 0.5000 0.5000 0.5000
Rh 0.0000 0.0000 0.0000

Summary:
E_form   558 meV/atom
Energy above the lowest structure with this stoichiometry   0.000 eV per formula unit

No. 11
## VMo3Au (PBE-GGA)

Data for an optimized crystal structure of VMo3Au.

abc: 4.4974 4.4974 4.4974
angles: 90.00 90.00 90.00
Space group Pm-3m (No. 221)
Inequivalent atoms, fractional coordinates:
V 0.0000 0.0000 0.0000
Mo 0.0000 0.0000 0.5000
Au 0.5000 0.5000 0.5000

Summary:
E_form   1200 meV/atom
Energy above the lowest structure with this stoichiometry   0.000 eV per formula unit

No. 12
## KAl2Re (PBE-GGA)

Data for an optimized crystal structure of KAl2Re.

abc: 8.6749 2.7597 8.3285
angles: 90.00 118.43 90.00
Space group Cm (No. 8)
Inequivalent atoms, fractional coordinates:
K 0.0000 0.0000 0.0000
Al 0.0927 0.5000 0.6639
Al 0.3935 0.5000 0.3437
Re 0.2463 0.0000 0.5083

Summary:
E_form   363 meV/atom
Energy above the lowest structure with this stoichiometry   0.504 eV per formula unit

No. 13
## Pm8Co3RuBr4 (PBE-GGA)

Data for an optimized crystal structure of Pm8Co3RuBr4.

abc: 7.9545 7.9545 23.4384
angles: 90.00 90.00 120.00
Space group R-3m (No. 166, hexagonal axes)
Inequivalent atoms, fractional coordinates:
Pm 0.0000 0.0000 0.2298
Pm 0.0038 0.5019 0.7681
Co 0.0000 0.5000 0.5000
Ru 0.0000 0.0000 0.5000
Br 0.0000 0.0000 0.0000
Br 0.0000 0.5000 0.0000

Summary:
Formation energy without anion corrections   -0.742 eV per atom

No. 14
## AcMgAu2 (PBE-GGA)

Data for an optimized crystal structure of AcMgAu2.

abc: 4.7819 4.7819 15.3309
angles: 90.00 90.00 120.00
Space group R-3m (No. 166, hexagonal axes)
Inequivalent atoms, fractional coordinates:
Ac 0.0000 0.0000 0.0000
Mg 0.0000 0.0000 0.5000
Au 0.0000 0.0000 0.2135

Summary:
E_form   -754 meV/atom

No. 15
## RbGaBi (PBE-GGA)

Data for an optimized crystal structure of RbGaBi.

abc: 8.7091 4.7106 10.9265
angles: 90.00 90.00 90.00
Space group Pnma (No. 62)
Inequivalent atoms, fractional coordinates:
Rb 0.0123 0.2500 0.1960
Ga 0.1279 0.2500 0.5687
Bi 0.2086 0.7500 0.4286

Summary:
E_form   -197 meV/atom

No. 16
## Bi2TeMo (PBE-GGA)

Data for an optimized crystal structure of Bi2TeMo.

abc: 6.7034 6.7034 13.4073
angles: 90.00 90.00 90.00
Space group I-42d (No. 122)
Inequivalent atoms, fractional coordinates:
Bi 0.1877 0.2500 0.1250
Te 0.0000 0.0000 0.5000
Mo 0.0000 0.0000 0.0000

Summary:
Formation energy without anion corrections   0.832 eV per atom

No. 17
## KBaOF2 (PBE-GGA)

Data for an optimized crystal structure of KBaOF2.

abc: 4.7056 4.7056 4.7026
angles: 90.00 90.00 90.00
Space group P4/mmm (No. 123)
Inequivalent atoms, fractional coordinates:
K 0.0000 0.0000 0.0000
Ba 0.5000 0.5000 0.5000
O 0.0000 0.0000 0.5000
F 0.0000 0.5000 0.0000

Summary:
Formation energy without anion corrections   -2.166 eV per atom
Energy above the lowest structure with this stoichiometry   1.119 eV per formula unit

No. 18
## Y2AgPtSe (PBE-GGA)

Data for an optimized crystal structure of Y2AgPtSe.

abc: 5.4748 5.4748 4.7416
angles: 90.00 90.00 90.00
Space group P4/mmm (No. 123)
Inequivalent atoms, fractional coordinates:
Y 0.0000 0.5000 0.0000
Ag 0.0000 0.0000 0.0000
Pt 0.5000 0.5000 0.5000
Se 0.0000 0.0000 0.5000

Summary:
Formation energy without anion corrections   0.208 eV per atom

No. 19
## SrMo2Br (PBE-GGA)

Data for an optimized crystal structure of SrMo2Br.

abc: 7.2076 4.1789 7.7627
angles: 90.00 108.64 90.00
Space group Cm (No. 8)
Inequivalent atoms, fractional coordinates:
Sr 0.0000 0.0000 0.0000
Mo 0.0451 0.5000 0.6472
Mo 0.2163 0.0000 0.6603
Br 0.4296 0.0000 0.2800

Summary:
Formation energy without anion corrections   0.244 eV per atom
Energy above the lowest structure with this stoichiometry   0.644 eV per formula unit

No. 20
## Ca6PmSe8 (PBE-GGA)

Data for an optimized crystal structure of Ca6PmSe8.

abc: 11.9190 11.9190 11.9190
angles: 90.00 90.00 90.00
Space group Fm-3m (No. 225)
Inequivalent atoms, fractional coordinates:
Ca 0.0000 0.2500 0.2500
Pm 0.0000 0.0000 0.0000
Se 0.0000 0.0000 0.2460
Se 0.2500 0.2500 0.2500

Summary:
Formation energy without anion corrections   -1.867 eV per atom

No. 21
## Ac3Y2Pb3 (PBE-GGA)

Data for an optimized crystal structure of Ac3Y2Pb3.

abc: 9.6932 9.6932 6.9397
angles: 90.00 90.00 120.00
Space group P6_3/mcm (No. 193)
Inequivalent atoms, fractional coordinates:
Ac 0.0000 0.2453 0.2500
Y 0.3333 0.6667 0.0000
Pb 0.0000 0.4008 0.7500

Summary:
E_form   -507 meV/atom
Energy above the lowest structure with this stoichiometry   0.000 eV per formula unit

No. 22
## Sr3YSn (PBE-GGA)

Data for an optimized crystal structure of Sr3YSn.

abc: 6.3385 6.3385 6.3385
angles: 90.00 90.00 90.00
Space group Pm-3m (No. 221)
Inequivalent atoms, fractional coordinates:
Sr 0.0000 0.0000 0.5000
Y 0.0000 0.0000 0.0000
Sn 0.5000 0.5000 0.5000

Summary:
E_form   769 meV/atom
Energy above the lowest structure with this stoichiometry   3.050 eV per formula unit

No. 23
## Tb2Mg3Hg4 (PBE-GGA)

Data for an optimized crystal structure of Tb2Mg3Hg4.

abc: 8.7207 5.0190 9.7003
angles: 90.00 90.43 90.00
Space group C2/m (No. 12)
Inequivalent atoms, fractional coordinates:
Tb 0.1679 0.0000 0.2129
Mg 0.0000 0.5000 0.0000
Mg 0.1657 0.0000 0.5721
Hg 0.0022 0.5000 0.3428
Hg 0.1659 0.0000 0.8956

Summary:
E_form   -364 meV/atom
Energy above the lowest structure with this stoichiometry   0.000 eV per formula unit